Entry 1:
ErBe17Os | PBE | relaxed

formation energy = -100.0 meV per atom
mass density = 4.88 g/cm3

CIF file:
```
data_ErBe17Os
_cell_length_a 7.4542
_cell_length_b 7.4542
_cell_length_c 10.8348
_cell_angle_alpha 90.00
_cell_angle_beta 90.00
_cell_angle_gamma 120.00
_space_group_name_H-M_alt 'R 3 m'
_space_group_IT_number 160
_space_group_name_Hall 'R 3 -2"'
loop_
_atom_site_label
_atom_site_fract_x
_atom_site_fract_y
_atom_site_fract_z
Er1 0.0000 0.0000 0.0000
Be1 0.0000 0.0000 0.2493
Be2 0.0000 0.0000 0.4431
Be3 0.0054 0.5027 0.8403
Be4 0.0087 0.2985 0.3412
Be5 0.0141 0.5070 0.4955
Be6 0.0154 0.5077 0.1900
Os1 0.0000 0.0000 0.6677
```


Entry 2:
Er2BeOs2 | PBE | relaxed

formation energy = -282.3 meV per atom
mass density = 12.67 g/cm3

CIF file:
```
data_Er2BeOs2
_cell_length_a 4.160
_cell_length_b 5.162
_cell_length_c 8.836
_cell_angle_alpha 90.00
_cell_angle_beta 90.00
_cell_angle_gamma 90.00
_space_group_name_H-M_alt 'I m m m'
_space_group_IT_number 71
_space_group_name_Hall '-I 2 2'
loop_
_atom_site_label
_atom_site_fract_x
_atom_site_fract_y
_atom_site_fract_z
Er1 0.000 0.000 0.194
Be1 0.000 0.500 0.000
Os1 0.000 0.256 0.500
```


Entry 3:
Er2BeOs | PBE | relaxed

formation energy = -90.9 meV per atom
mass density = 11.37 g/cm3

CIF file:
```
data_Er2BeOs
_cell_length_a 3.411
_cell_length_b 3.411
_cell_length_c 6.699
_cell_angle_alpha 90.00
_cell_angle_beta 90.00
_cell_angle_gamma 90.00
_space_group_name_H-M_alt 'P 4/m m m'
_space_group_IT_number 123
_space_group_name_Hall '-P 4 2'
loop_
_atom_site_label
_atom_site_fract_x
_atom_site_fract_y
_atom_site_fract_z
Er1 0.000 0.000 0.245
Be1 0.500 0.500 0.500
Os1 0.500 0.500 0.000
```


Entry 4:
ErBeOs | PBE | relaxed

formation energy = -280.3 meV per atom
mass density = 12.62 g/cm3

CIF file:
```
data_ErBeOs
_cell_length_a 5.192
_cell_length_b 5.202
_cell_length_c 7.140
_cell_angle_alpha 90.00
_cell_angle_beta 90.00
_cell_angle_gamma 90.00
_space_group_name_H-M_alt 'I m m a'
_space_group_IT_number 74
_space_group_name_Hall '-I 2b 2'
loop_
_atom_site_label
_atom_site_fract_x
_atom_site_fract_y
_atom_site_fract_z
Er1 0.000 0.250 0.129
Be1 0.250 0.250 0.750
Os1 0.000 0.000 0.500
```


Entry 5:
ErBe9Os2 | PBE | relaxed

formation energy = -269.2 meV per atom
mass density = 8.57 g/cm3

CIF file:
```
data_ErBe9Os2
_cell_length_a 4.4416
_cell_length_b 4.4416
_cell_length_c 14.2700
_cell_angle_alpha 90.00
_cell_angle_beta 90.00
_cell_angle_gamma 120.00
_space_group_name_H-M_alt 'P 63/m m c'
_space_group_IT_number 194
_space_group_name_Hall '-P 6c 2c'
loop_
_atom_site_label
_atom_site_fract_x
_atom_site_fract_y
_atom_site_fract_z
Er1 0.3333 0.6667 0.2500
Be1 0.0000 0.0000 0.0000
Be2 0.0000 0.0000 0.2500
Be3 0.1696 0.3392 0.6178
Be4 0.3333 0.6667 0.7500
Os1 0.3333 0.6667 0.0345
```


Entry 6:
Er2BeOs | PBE | relaxed

formation energy = 727.0 meV per atom
mass density = 9.59 g/cm3

CIF file:
```
data_Er2BeOs
_cell_length_a 3.2619
_cell_length_b 3.2619
_cell_length_c 30.0824
_cell_angle_alpha 90.00
_cell_angle_beta 90.00
_cell_angle_gamma 120.00
_space_group_name_H-M_alt 'R -3 m'
_space_group_IT_number 166
_space_group_name_Hall '-R 3 2"'
loop_
_atom_site_label
_atom_site_fract_x
_atom_site_fract_y
_atom_site_fract_z
Er1 0.0000 0.0000 0.0973
Be1 0.0000 0.0000 0.0000
Os1 0.0000 0.0000 0.5000
```


Entry 7:
Er2BeOs | PBE | relaxed

formation energy = -120.4 meV per atom
mass density = 11.46 g/cm3

CIF file:
```
data_Er2BeOs
_cell_length_a 6.764
_cell_length_b 6.764
_cell_length_c 6.764
_cell_angle_alpha 90.00
_cell_angle_beta 90.00
_cell_angle_gamma 90.00
_space_group_name_H-M_alt 'F m -3 m'
_space_group_IT_number 225
_space_group_name_Hall '-F 4 2 3'
loop_
_atom_site_label
_atom_site_fract_x
_atom_site_fract_y
_atom_site_fract_z
Er1 0.250 0.250 0.250
Be1 0.000 0.000 0.000
Os1 0.000 0.000 0.500
```


Entry 8:
ErBeOs | PBE | relaxed

formation energy = -81.9 meV per atom
mass density = 11.42 g/cm3

CIF file:
```
data_ErBeOs
_cell_length_a 17.728
_cell_length_b 3.740
_cell_length_c 9.943
_cell_angle_alpha 90.00
_cell_angle_beta 104.07
_cell_angle_gamma 90.00
_space_group_name_H-M_alt 'C 1 2/c 1'
_space_group_IT_number 15
loop_
_space_group_symop_operation_xyz
'x,y,z'
'-x,-y,-z'
'-x,y,-z+1/2'
'x,-y,z+1/2'
'x+1/2,y+1/2,z'
'-x+1/2,-y+1/2,-z'
'-x+1/2,y+1/2,-z+1/2'
'x+1/2,-y+1/2,z+1/2'
loop_
_atom_site_label
_atom_site_fract_x
_atom_site_fract_y
_atom_site_fract_z
Er1 0.000 0.206 0.250
Er2 0.160 0.256 0.657
Be1 0.000 0.500 0.000
Be2 0.176 0.247 0.394
Os1 0.101 0.270 0.928
Os2 0.250 0.250 0.000
```


Entry 9:
ErScBeOs | PBE | relaxed

formation energy = -178.7 meV per atom
mass density = 9.54 g/cm3

CIF file:
```
data_ErScBeOs
_cell_length_a 6.592
_cell_length_b 6.592
_cell_length_c 6.592
_cell_angle_alpha 90.00
_cell_angle_beta 90.00
_cell_angle_gamma 90.00
_space_group_name_H-M_alt 'F -4 3 m'
_space_group_IT_number 216
_space_group_name_Hall 'F -4 2 3'
loop_
_atom_site_label
_atom_site_fract_x
_atom_site_fract_y
_atom_site_fract_z
Er1 0.000 0.000 0.000
Sc1 0.000 0.000 0.500
Be1 0.250 0.250 0.750
Os1 0.250 0.250 0.250
```


Entry 10:
Er2Be4Si3Os | PBE | relaxed

uncorrected formation energy = -9.785 kcal/mol of atoms
mass density = 7.58 g/cm3

CIF file:
```
data_Er2Be4Si3Os
_cell_length_a 3.771
_cell_length_b 3.771
_cell_length_c 9.936
_cell_angle_alpha 90.00
_cell_angle_beta 90.00
_cell_angle_gamma 90.00
_space_group_name_H-M_alt 'P -4 m 2'
_space_group_IT_number 115
loop_
_space_group_symop_operation_xyz
'x,y,z'
'y,-x,-z'
'-x,-y,z'
'-y,x,-z'
'-x,y,z'
'-y,-x,-z'
'x,-y,z'
'y,x,-z'
loop_
_atom_site_label
_atom_site_fract_x
_atom_site_fract_y
_atom_site_fract_z
Er1 0.000 0.500 0.247
Be1 0.000 0.000 0.000
Be2 0.000 0.500 0.637
Be3 0.500 0.500 0.000
Si1 0.000 0.500 0.867
Si2 0.500 0.500 0.500
Os1 0.000 0.000 0.500
```


Entry 11:
ErBeSiOs | PBE | relaxed

uncorrected formation energy = -11.381 kcal/mol of atoms
mass density = 9.89 g/cm3

CIF file:
```
data_ErBeSiOs
_cell_length_a 3.9914
_cell_length_b 3.9914
_cell_length_c 14.4054
_cell_angle_alpha 90.00
_cell_angle_beta 90.00
_cell_angle_gamma 120.00
_space_group_name_H-M_alt 'R 3 m'
_space_group_IT_number 160
_space_group_name_Hall 'R 3 -2"'
loop_
_atom_site_label
_atom_site_fract_x
_atom_site_fract_y
_atom_site_fract_z
Er1 0.0000 0.0000 0.0000
Be1 0.0000 0.0000 0.7959
Si1 0.0000 0.0000 0.2034
Os1 0.0000 0.0000 0.4933
```


Entry 12:
TbErBeOs | PBE | relaxed

formation energy = -77.4 meV per atom
mass density = 11.04 g/cm3

CIF file:
```
data_TbErBeOs
_cell_length_a 6.812
_cell_length_b 6.812
_cell_length_c 6.812
_cell_angle_alpha 90.00
_cell_angle_beta 90.00
_cell_angle_gamma 90.00
_space_group_name_H-M_alt 'F -4 3 m'
_space_group_IT_number 216
_space_group_name_Hall 'F -4 2 3'
loop_
_atom_site_label
_atom_site_fract_x
_atom_site_fract_y
_atom_site_fract_z
Tb1 0.000 0.000 0.000
Er1 0.000 0.000 0.500
Be1 0.250 0.250 0.250
Os1 0.250 0.250 0.750
```


Entry 13:
Er2BeP | PBE | relaxed

formation energy = 25.0 meV per atom
mass density = 5.66 g/cm3

CIF file:
```
data_Er2BeP
_cell_length_a 3.7580
_cell_length_b 3.7580
_cell_length_c 26.9464
_cell_angle_alpha 90.00
_cell_angle_beta 90.00
_cell_angle_gamma 120.00
_space_group_name_H-M_alt 'R -3 m'
_space_group_IT_number 166
_space_group_name_Hall '-R 3 2"'
loop_
_atom_site_label
_atom_site_fract_x
_atom_site_fract_y
_atom_site_fract_z
Er1 0.0000 0.0000 0.1076
Be1 0.0000 0.0000 0.0000
P1 0.0000 0.0000 0.5000
```


Entry 14:
ErPaBe2 | PBE | relaxed

formation energy = 479.9 meV per atom
mass density = 8.72 g/cm3

CIF file:
```
data_ErPaBe2
_cell_length_a 3.2902
_cell_length_b 3.2902
_cell_length_c 25.3784
_cell_angle_alpha 90.00
_cell_angle_beta 90.00
_cell_angle_gamma 120.00
_space_group_name_H-M_alt 'R -3 m'
_space_group_IT_number 166
_space_group_name_Hall '-R 3 2"'
loop_
_atom_site_label
_atom_site_fract_x
_atom_site_fract_y
_atom_site_fract_z
Er1 0.0000 0.0000 0.0000
Pa1 0.0000 0.0000 0.5000
Be1 0.0000 0.0000 0.2509
```


Entry 15:
ErPaBe4 | PBE | relaxed

formation energy = 153.1 meV per atom
mass density = 8.26 g/cm3

CIF file:
```
data_ErPaBe4
_cell_length_a 7.042
_cell_length_b 7.042
_cell_length_c 7.042
_cell_angle_alpha 90.00
_cell_angle_beta 90.00
_cell_angle_gamma 90.00
_space_group_name_H-M_alt 'F -4 3 m'
_space_group_IT_number 216
_space_group_name_Hall 'F -4 2 3'
loop_
_atom_site_label
_atom_site_fract_x
_atom_site_fract_y
_atom_site_fract_z
Er1 0.000 0.000 0.000
Pa1 0.250 0.250 0.250
Be1 0.124 0.124 0.624
```


Entry 16:
Er2PaBe | PBE | relaxed

formation energy = 457.0 meV per atom
mass density = 9.77 g/cm3

CIF file:
```
data_Er2PaBe
_cell_length_a 3.2493
_cell_length_b 3.2493
_cell_length_c 32.0412
_cell_angle_alpha 90.00
_cell_angle_beta 90.00
_cell_angle_gamma 120.00
_space_group_name_H-M_alt 'R -3 m'
_space_group_IT_number 166
_space_group_name_Hall '-R 3 2"'
loop_
_atom_site_label
_atom_site_fract_x
_atom_site_fract_y
_atom_site_fract_z
Er1 0.0000 0.0000 0.1022
Pa1 0.0000 0.0000 0.0000
Be1 0.0000 0.0000 0.5000
```


Entry 17:
ErPaBe17 | PBE | relaxed

formation energy = -113.5 meV per atom
mass density = 4.71 g/cm3

CIF file:
```
data_ErPaBe17
_cell_length_a 7.7166
_cell_length_b 7.7166
_cell_length_c 11.2993
_cell_angle_alpha 90.00
_cell_angle_beta 90.00
_cell_angle_gamma 120.00
_space_group_name_H-M_alt 'R 3 m'
_space_group_IT_number 160
_space_group_name_Hall 'R 3 -2"'
loop_
_atom_site_label
_atom_site_fract_x
_atom_site_fract_y
_atom_site_fract_z
Er1 0.0000 0.0000 0.0000
Pa1 0.0000 0.0000 0.6791
Be1 0.0000 0.0000 0.2445
Be2 0.0000 0.0000 0.4342
Be3 0.0000 0.2782 0.3386
Be4 0.0028 0.5014 0.1787
Be5 0.1676 0.3352 0.1727
Be6 0.1691 0.3382 0.8327
```


Entry 18:
ErBe2Pd3 | PBE | relaxed

formation energy = -583.9 meV per atom
mass density = 9.21 g/cm3

CIF file:
```
data_ErBe2Pd3
_cell_length_a 9.0273
_cell_length_b 9.0273
_cell_length_c 3.8665
_cell_angle_alpha 90.00
_cell_angle_beta 90.00
_cell_angle_gamma 120.00
_space_group_name_H-M_alt 'P 6/m m m'
_space_group_IT_number 191
_space_group_name_Hall '-P 6 2'
loop_
_atom_site_label
_atom_site_fract_x
_atom_site_fract_y
_atom_site_fract_z
Er1 0.0000 0.0000 0.0000
Er2 0.3333 0.6667 0.5000
Be1 0.1818 0.3637 0.0000
Pd1 0.0000 0.2938 0.5000
Pd2 0.0000 0.5000 0.0000
```


Entry 19:
ErBe2Pd2 | PBE | relaxed

formation energy = -593.3 meV per atom
mass density = 8.81 g/cm3

CIF file:
```
data_ErBe2Pd2
_cell_length_a 3.966
_cell_length_b 3.966
_cell_length_c 9.549
_cell_angle_alpha 90.00
_cell_angle_beta 90.00
_cell_angle_gamma 90.00
_space_group_name_H-M_alt 'I 4/m m m'
_space_group_IT_number 139
_space_group_name_Hall '-I 4 2'
loop_
_atom_site_label
_atom_site_fract_x
_atom_site_fract_y
_atom_site_fract_z
Er1 0.000 0.000 0.000
Be1 0.000 0.000 0.381
Pd1 0.000 0.500 0.250
```


Entry 20:
Er2BePd | PBE | relaxed

formation energy = -388.5 meV per atom
mass density = 9.15 g/cm3

CIF file:
```
data_Er2BePd
_cell_length_a 6.887
_cell_length_b 6.887
_cell_length_c 6.887
_cell_angle_alpha 90.00
_cell_angle_beta 90.00
_cell_angle_gamma 90.00
_space_group_name_H-M_alt 'F m -3 m'
_space_group_IT_number 225
_space_group_name_Hall '-F 4 2 3'
loop_
_atom_site_label
_atom_site_fract_x
_atom_site_fract_y
_atom_site_fract_z
Er1 0.250 0.250 0.250
Be1 0.000 0.000 0.000
Pd1 0.000 0.000 0.500
```


no.,M_tot (μB per formula unit),DFT total energy (eV per formula unit)
1,0.000,-81.0
2,0.000,-36.7
3,0.000,-24.4
4,0.000,-20.4
5,0.000,-63.8
6,0.000,-21.2
7,0.000,-24.6
8,0.000,-19.8
9,0.000,-26.6
10,0.000,-55.8
11,0.000,-26.9
12,0.000,-24.5
13,0.001,-18.2
14,0.000,-19.6
15,0.000,-28.0
16,0.000,-20.5
17,0.000,-79.6
18,0.000,-31.1
19,0.000,-25.4
20,0.001,-19.6